1.
The following is a PBE-GGA calculation of a relaxed structure of RbSrZr2O, from Alexandria via LeMat-Bulk.

energy relative to the elements, uncorrected = 10.35 eV per formula unit
final energy = -2.8703 eV/atom
ρ = 3.8 g/cm3

a = 4.915 Å, b = 6.749 Å, c = 4.915 Å
α = 90.00°, β = 90.00°, γ = 90.00°
Sites, in units of the cell vectors:
O (0.500, 0.500, 0.500)
Sr (0.000, 0.500, 0.000)
Rb (0.000, 0.000, 0.000)
Zr (0.000, 0.000, 0.500)
Zr (0.500, 0.000, 0.000)



2.
The following is a PBE-GGA calculation of a relaxed structure of Ca3In2BRh3, from Alexandria via LeMat-Bulk.

final energy = -4.7715 eV/atom
ρ = 6.3 g/cm3
calculated formation energy = -303 meV per atom

a = 3.435 Å, b = 7.727 Å, c = 7.727 Å
α = 120.00°, β = 90.00°, γ = 90.00°
Sites, in units of the cell vectors:
Ca (0.000, 0.000, 0.348)
Ca (0.000, 0.652, 0.652)
Ca (0.000, 0.348, 0.000)
In (0.500, 0.333, 0.667)
In (0.500, 0.667, 0.333)
B (0.000, 0.000, 0.000)
Rh (0.500, 0.792, 0.000)
Rh (0.500, 0.208, 0.208)
Rh (0.500, 0.000, 0.792)



3.
The following is a PBE-GGA calculation of a relaxed structure of OsRhAu, from Alexandria via LeMat-Bulk.

final energy = -6.8105 eV/atom
relative energy among the computed polymorphs = 386 meV/atom
ρ = 17.1 g/cm3
calculated formation energy = 476 meV per atom

a = 7.653 Å, b = 7.405 Å, c = 2.744 Å
α = 84.64°, β = 74.45°, γ = 20.92°
Each line ends with the local moment (μB).
Sites, in units of the cell vectors:
Os (0.675, 0.675, 0.325)  0.43
Rh (0.326, 0.326, 0.674)  0.08
Au (0.999, 0.999, 0.001)  0.03